Entry 1:
# VZn2Au2, optimized geometry, DFT PBE
data_VZn2Au2
_chemical_formula_sum 'V2 Zn4 Au4'
_cell_length_a 7.3461
_cell_length_b 7.3461
_cell_length_c 3.0736
_cell_angle_alpha 90.00
_cell_angle_beta 90.00
_cell_angle_gamma 90.00
_symmetry_space_group_name_H-M 'P 4/m b m'
_symmetry_Int_Tables_number 127
_symmetry_space_group_name_Hall '-P 4 2ab'
loop_
_atom_site_label
_atom_site_type_symbol
_atom_site_fract_x
_atom_site_fract_y
_atom_site_fract_z
V1 V 0.0000 0.0000 0.0000
Zn1 Zn 0.1242 0.3758 0.0000
Au1 Au 0.1764 0.6764 0.5000
# Calculated formation energy   0.03 eV/atom
# Total energy   -18.09 eV per formula unit

=====

Entry 2:
# RbCd3Ag, optimized geometry, DFT PBE
data_RbCd3Ag
_chemical_formula_sum 'Rb2 Cd6 Ag2'
_cell_length_a 7.3437
_cell_length_b 7.3437
_cell_length_c 6.2791
_cell_angle_alpha 90.00
_cell_angle_beta 90.00
_cell_angle_gamma 120.00
_symmetry_space_group_name_H-M 'P 63/m m c'
_symmetry_Int_Tables_number 194
_symmetry_space_group_name_Hall '-P 6c 2c'
loop_
_atom_site_label
_atom_site_type_symbol
_atom_site_fract_x
_atom_site_fract_y
_atom_site_fract_z
Rb1 Rb 0.3333 0.6667 0.2500
Cd1 Cd 0.1913 0.3827 0.7500
Ag1 Ag 0.0000 0.0000 0.0000
# Calculated formation energy   0.01 eV/atom
# Total energy   -6.50 eV per formula unit

=====

Entry 3:
# MgFeRu3, optimized geometry, DFT PBE
data_MgFeRu3
_chemical_formula_sum 'Mg1 Fe1 Ru3'
_cell_length_a 4.4216
_cell_length_b 4.4216
_cell_length_c 4.4216
_cell_angle_alpha 90.00
_cell_angle_beta 90.00
_cell_angle_gamma 90.00
_symmetry_space_group_name_H-M 'P m -3 m'
_symmetry_Int_Tables_number 221
_symmetry_space_group_name_Hall '-P 4 2 3'
loop_
_atom_site_label
_atom_site_type_symbol
_atom_site_fract_x
_atom_site_fract_y
_atom_site_fract_z
Mg1 Mg 0.0000 0.0000 0.0000
Fe1 Fe 0.5000 0.5000 0.5000
Ru1 Ru 0.0000 0.5000 0.5000
# Calculated formation energy   1.04 eV/atom
# Total energy   -32.69 eV per formula unit